Density functional theory data (PBE) for ScTi3O6 after structural relaxation. Values from VASP.

The structure in Quantum ESPRESSO input format:
```
&SYSTEM
  ibrav = 0, nat = 20, ntyp = 3
/
ATOMIC_SPECIES
Sc 44.96 Sc.upf
Ti 47.87 Ti.upf
O 16.00 O.upf
CELL_PARAMETERS angstrom
8.359 0.000 0.000
0.000 2.993 0.000
-2.440 0.000 8.065
ATOMIC_POSITIONS crystal
Sc 0.050 0.250 0.194
Sc 0.950 0.750 0.806
Ti 0.170 0.250 0.575
Ti 0.316 0.750 0.983
Ti 0.423 0.250 0.332
Ti 0.577 0.750 0.668
Ti 0.684 0.250 0.017
Ti 0.830 0.750 0.425
O 0.073 0.750 0.404
O 0.122 0.250 0.959
O 0.199 0.750 0.738
O 0.261 0.750 0.221
O 0.405 0.250 0.575
O 0.470 0.250 0.111
O 0.530 0.750 0.889
O 0.595 0.750 0.425
O 0.739 0.250 0.779
O 0.801 0.250 0.262
O 0.878 0.750 0.041
O 0.927 0.250 0.596
```

**Symmetry**: P2_1/m, No. 11
**Calculated total energy**: -8.96 eV/atom
**Volume**: 201.8 Å³ per cell

Density functional theory data (PBE) for ScTi2O after structural relaxation. Values from VASP.

The structure in Quantum ESPRESSO input format:
```
&SYSTEM
  ibrav = 0, nat = 16, ntyp = 3
/
ATOMIC_SPECIES
Sc 44.96 Sc.upf
Ti 47.87 Ti.upf
O 16.00 O.upf
CELL_PARAMETERS angstrom
6.098 0.000 0.000
0.000 6.098 0.000
0.000 0.000 8.054
ATOMIC_POSITIONS crystal
Sc 0.000 0.000 0.000
Sc 0.000 0.500 0.250
Sc 0.500 0.000 0.750
Sc 0.500 0.500 0.500
Ti 0.089 0.250 0.625
Ti 0.250 0.589 0.875
Ti 0.250 0.911 0.375
Ti 0.411 0.250 0.125
Ti 0.589 0.750 0.125
Ti 0.750 0.089 0.375
Ti 0.750 0.411 0.875
Ti 0.911 0.750 0.625
O 0.000 0.000 0.500
O 0.000 0.500 0.750
O 0.500 0.000 0.250
O 0.500 0.500 0.000
```

**Symmetry**: I-42d, No. 122
**Calculated total energy**: -7.77 eV/atom
**Volume**: 299.5 Å³ per cell

Density functional theory data (PBE) for Sc2TiO5 after structural relaxation. Values from VASP.

The structure in Quantum ESPRESSO input format:
```
&SYSTEM
  ibrav = 0, nat = 16, ntyp = 3
/
ATOMIC_SPECIES
Sc 44.96 Sc.upf
Ti 47.87 Ti.upf
O 16.00 O.upf
CELL_PARAMETERS angstrom
1.937 -5.118 0.000
1.937 5.118 0.000
0.000 0.000 10.324
ATOMIC_POSITIONS crystal
Sc 0.137 0.863 0.500
Sc 0.195 0.805 0.187
Sc 0.805 0.195 0.687
Sc 0.863 0.137 0.000
Ti 0.133 0.867 0.878
Ti 0.867 0.133 0.378
O 0.037 0.963 0.317
O 0.054 0.946 0.045
O 0.229 0.771 0.695
O 0.301 0.699 0.005
O 0.314 0.686 0.367
O 0.686 0.314 0.867
O 0.699 0.301 0.505
O 0.771 0.229 0.195
O 0.946 0.054 0.545
O 0.963 0.037 0.817
```

**Symmetry**: Cmc2_1, No. 36
**Calculated total energy**: -9.04 eV/atom
**Volume**: 204.6 Å³ per cell
**Offset from the most stable computed form**: 0.000 eV/atom

Density functional theory data (PBE) for Sc2TiO4 after structural relaxation. Values from VASP.

The structure in Quantum ESPRESSO input format:
```
&SYSTEM
  ibrav = 0, nat = 14, ntyp = 3
/
ATOMIC_SPECIES
Sc 44.96 Sc.upf
Ti 47.87 Ti.upf
O 16.00 O.upf
CELL_PARAMETERS angstrom
10.780 0.000 0.000
0.000 3.134 0.000
-2.700 0.000 4.788
ATOMIC_POSITIONS crystal
Sc 0.212 0.000 0.208
Sc 0.288 0.500 0.792
Sc 0.712 0.500 0.208
Sc 0.788 0.000 0.792
Ti 0.000 0.500 0.500
Ti 0.500 0.000 0.500
O 0.123 0.500 0.924
O 0.138 0.000 0.505
O 0.362 0.500 0.495
O 0.377 0.000 0.076
O 0.623 0.000 0.924
O 0.638 0.500 0.505
O 0.862 0.000 0.495
O 0.877 0.500 0.076
```

**Symmetry**: C2/m, No. 12
**Calculated total energy**: -8.84 eV/atom
**Volume**: 161.8 Å³ per cell

Density functional theory data (PBE) for Sc4Ti3O12 after structural relaxation. Values from VASP.

The structure in Quantum ESPRESSO input format:
```
&SYSTEM
  ibrav = 0, nat = 38, ntyp = 3
/
ATOMIC_SPECIES
Sc 44.96 Sc.upf
Ti 47.87 Ti.upf
O 16.00 O.upf
CELL_PARAMETERS angstrom
5.914 0.000 0.000
-0.899 6.020 0.000
-2.139 -2.366 11.782
ATOMIC_POSITIONS crystal
Sc 0.112 0.137 0.408
Sc 0.198 0.382 0.183
Sc 0.201 0.386 0.683
Sc 0.368 0.694 0.948
Sc 0.632 0.306 0.052
Sc 0.799 0.614 0.317
Sc 0.802 0.618 0.817
Sc 0.888 0.863 0.592
Ti 0.104 0.157 0.914
Ti 0.343 0.658 0.443
Ti 0.493 0.985 0.738
Ti 0.507 0.015 0.262
Ti 0.657 0.342 0.557
Ti 0.896 0.843 0.086
O 0.068 0.824 0.963
O 0.082 0.419 0.340
O 0.084 0.409 0.840
O 0.097 0.816 0.459
O 0.172 0.025 0.201
O 0.194 0.047 0.693
O 0.316 0.429 0.040
O 0.322 0.425 0.536
O 0.409 0.089 0.906
O 0.412 0.691 0.294
O 0.430 0.690 0.778
O 0.470 0.127 0.410
O 0.530 0.873 0.590
O 0.570 0.310 0.222
O 0.588 0.309 0.706
O 0.591 0.911 0.094
O 0.678 0.575 0.464
O 0.684 0.571 0.960
O 0.806 0.953 0.307
O 0.828 0.975 0.799
O 0.903 0.184 0.541
O 0.916 0.591 0.160
O 0.918 0.581 0.660
O 0.932 0.176 0.037
```

**Symmetry**: P-1, No. 2
**Calculated total energy**: -8.99 eV/atom
**Volume**: 419.5 Å³ per cell
**Offset from the most stable computed form**: 0.000 eV/atom

Density functional theory data (PBE) for Sc2Ti2O7 after structural relaxation. Values from VASP.

The structure in Quantum ESPRESSO input format:
```
&SYSTEM
  ibrav = 0, nat = 11, ntyp = 3
/
ATOMIC_SPECIES
Sc 44.96 Sc.upf
Ti 47.87 Ti.upf
O 16.00 O.upf
CELL_PARAMETERS angstrom
3.202 -4.495 0.000
3.202 4.495 0.000
-0.949 0.000 5.137
ATOMIC_POSITIONS crystal
Sc 0.187 0.813 0.000
Sc 0.813 0.187 0.000
Ti 0.246 0.246 0.607
Ti 0.754 0.754 0.393
O 0.069 0.069 0.269
O 0.101 0.444 0.803
O 0.444 0.101 0.803
O 0.500 0.500 0.500
O 0.556 0.899 0.197
O 0.899 0.556 0.197
O 0.931 0.931 0.731
```

**Symmetry**: C2/m, No. 12
**Calculated total energy**: -9.02 eV/atom
**Volume**: 147.9 Å³ per cell

Density functional theory data (PBE) for Sc2TiO5 after structural relaxation. Values from VASP.

The structure in Quantum ESPRESSO input format:
```
&SYSTEM
  ibrav = 0, nat = 32, ntyp = 3
/
ATOMIC_SPECIES
Sc 44.96 Sc.upf
Ti 47.87 Ti.upf
O 16.00 O.upf
CELL_PARAMETERS angstrom
7.092 0.000 0.000
0.000 3.545 0.000
0.000 0.000 14.551
ATOMIC_POSITIONS crystal
Sc 0.070 0.250 0.098
Sc 0.149 0.250 0.725
Sc 0.351 0.750 0.225
Sc 0.430 0.750 0.598
Sc 0.570 0.250 0.402
Sc 0.649 0.250 0.775
Sc 0.851 0.750 0.275
Sc 0.930 0.750 0.902
Ti 0.130 0.250 0.429
Ti 0.370 0.750 0.929
Ti 0.630 0.250 0.071
Ti 0.870 0.750 0.571
O 0.059 0.750 0.445
O 0.075 0.750 0.186
O 0.133 0.750 0.649
O 0.146 0.750 0.006
O 0.212 0.750 0.829
O 0.288 0.250 0.329
O 0.354 0.250 0.506
O 0.367 0.250 0.149
O 0.425 0.250 0.686
O 0.441 0.250 0.945
O 0.559 0.750 0.055
O 0.575 0.750 0.314
O 0.633 0.750 0.851
O 0.646 0.750 0.494
O 0.712 0.750 0.671
O 0.788 0.250 0.171
O 0.854 0.250 0.994
O 0.867 0.250 0.351
O 0.925 0.250 0.814
O 0.941 0.250 0.555
```

**Symmetry**: Pnma, No. 62
**Calculated total energy**: -8.99 eV/atom
**Volume**: 365.8 Å³ per cell
**Offset from the most stable computed form**: 0.051 eV/atom

Density functional theory data (PBE) for Sc2TiO after structural relaxation. Values from VASP.

The structure in Quantum ESPRESSO input format:
```
&SYSTEM
  ibrav = 0, nat = 12, ntyp = 3
/
ATOMIC_SPECIES
Sc 44.96 Sc.upf
Ti 47.87 Ti.upf
O 16.00 O.upf
CELL_PARAMETERS angstrom
3.303 0.000 0.000
-1.651 2.860 0.000
0.000 0.000 25.659
ATOMIC_POSITIONS crystal
Sc 0.000 0.000 0.073
Sc 0.000 0.000 0.927
Sc 0.333 0.667 0.593
Sc 0.333 0.667 0.740
Sc 0.667 0.333 0.260
Sc 0.667 0.333 0.407
Ti 0.000 0.000 0.500
Ti 0.333 0.667 0.167
Ti 0.667 0.333 0.833
O 0.000 0.000 0.000
O 0.333 0.667 0.667
O 0.667 0.333 0.333
```

**Symmetry**: R-3m, No. 166
**Calculated total energy**: -7.29 eV/atom
**Volume**: 242.4 Å³ per cell

Density functional theory data (PBE) for ScTi3O after structural relaxation. Values from VASP.

The structure in Quantum ESPRESSO input format:
```
&SYSTEM
  ibrav = 0, nat = 5, ntyp = 3
/
ATOMIC_SPECIES
Sc 44.96 Sc.upf
Ti 47.87 Ti.upf
O 16.00 O.upf
CELL_PARAMETERS angstrom
4.668 0.000 0.000
0.000 4.668 0.000
0.000 0.000 4.668
ATOMIC_POSITIONS crystal
Sc 0.000 0.000 0.000
Ti 0.000 0.000 0.500
Ti 0.000 0.500 0.000
Ti 0.500 0.000 0.000
O 0.500 0.500 0.500
```

**Symmetry**: Pm-3m, No. 221
**Calculated total energy**: -5.39 eV/atom
**Volume**: 101.7 Å³ per cell
**Offset from the most stable computed form**: 2.612 eV/atom

Density functional theory data (PBE) for Sc2TiO after structural relaxation. Values from VASP.

The structure in Quantum ESPRESSO input format:
```
&SYSTEM
  ibrav = 0, nat = 16, ntyp = 3
/
ATOMIC_SPECIES
Sc 44.96 Sc.upf
Ti 47.87 Ti.upf
O 16.00 O.upf
CELL_PARAMETERS angstrom
6.274 0.000 0.000
0.000 6.274 0.000
0.000 0.000 8.112
ATOMIC_POSITIONS crystal
Sc 0.118 0.250 0.125
Sc 0.250 0.618 0.375
Sc 0.250 0.882 0.875
Sc 0.382 0.250 0.625
Sc 0.618 0.750 0.625
Sc 0.750 0.118 0.875
Sc 0.750 0.382 0.375
Sc 0.882 0.750 0.125
Ti 0.000 0.000 0.500
Ti 0.000 0.500 0.750
Ti 0.500 0.000 0.250
Ti 0.500 0.500 0.000
O 0.000 0.000 0.000
O 0.000 0.500 0.250
O 0.500 0.000 0.750
O 0.500 0.500 0.500
```

**Symmetry**: I-42d, No. 122
**Calculated total energy**: -7.42 eV/atom
**Volume**: 319.3 Å³ per cell

Density functional theory data (PBE) for Sc3TiO after structural relaxation. Values from VASP.

The structure in Quantum ESPRESSO input format:
```
&SYSTEM
  ibrav = 0, nat = 5, ntyp = 3
/
ATOMIC_SPECIES
Sc 44.96 Sc.upf
Ti 47.87 Ti.upf
O 16.00 O.upf
CELL_PARAMETERS angstrom
4.472 0.000 0.000
0.000 4.472 0.000
0.000 0.000 4.472
ATOMIC_POSITIONS crystal
Sc 0.000 0.000 0.500
Sc 0.000 0.500 0.000
Sc 0.500 0.000 0.000
Ti 0.500 0.500 0.500
O 0.000 0.000 0.000
```

**Symmetry**: Pm-3m, No. 221
**Calculated total energy**: -7.47 eV/atom
**Volume**: 89.4 Å³ per cell
**Offset from the most stable computed form**: 0.000 eV/atom

Density functional theory data (PBE) for ScTiO3 after structural relaxation. Values from VASP.

The structure in Quantum ESPRESSO input format:
```
&SYSTEM
  ibrav = 0, nat = 10, ntyp = 3
/
ATOMIC_SPECIES
Sc 44.96 Sc.upf
Ti 47.87 Ti.upf
O 16.00 O.upf
CELL_PARAMETERS angstrom
2.611 -5.987 0.000
2.611 5.987 0.000
0.000 0.000 3.791
ATOMIC_POSITIONS crystal
Sc 0.180 0.820 0.000
Sc 0.820 0.180 0.000
Ti 0.386 0.614 0.500
Ti 0.614 0.386 0.500
O 0.000 0.500 0.500
O 0.244 0.244 0.500
O 0.351 0.649 0.000
O 0.500 0.000 0.500
O 0.649 0.351 0.000
O 0.756 0.756 0.500
```

**Symmetry**: Cmmm, No. 65
**Calculated total energy**: -8.54 eV/atom
**Volume**: 118.5 Å³ per cell

Repeat the eighth record exactly.
Density functional theory data (PBE) for Sc2TiO after structural relaxation. Values from VASP.

The structure in Quantum ESPRESSO input format:
```
&SYSTEM
  ibrav = 0, nat = 12, ntyp = 3
/
ATOMIC_SPECIES
Sc 44.96 Sc.upf
Ti 47.87 Ti.upf
O 16.00 O.upf
CELL_PARAMETERS angstrom
3.303 0.000 0.000
-1.651 2.860 0.000
0.000 0.000 25.659
ATOMIC_POSITIONS crystal
Sc 0.000 0.000 0.073
Sc 0.000 0.000 0.927
Sc 0.333 0.667 0.593
Sc 0.333 0.667 0.740
Sc 0.667 0.333 0.260
Sc 0.667 0.333 0.407
Ti 0.000 0.000 0.500
Ti 0.333 0.667 0.167
Ti 0.667 0.333 0.833
O 0.000 0.000 0.000
O 0.333 0.667 0.667
O 0.667 0.333 0.333
```

**Symmetry**: R-3m, No. 166
**Calculated total energy**: -7.29 eV/atom
**Volume**: 242.4 Å³ per cell

> Among the records above, which one has the highest calculated total energy?

ScTi3O